Here is KSrTbWO6 after structural relaxation from the Alexandria database. Energies are from GGA+U.

Summary:
density = 6.32 g/cm3
DOS(E_F) = 0.0 states/eV/cell
uncorrected energy = -7.0931 eV/atom
spin magnetization = 0.00 μB per formula unit
space group = F-43m, No. 216

Lattice parameters (Å, degrees): 5.944 5.944 5.944 60.00 60.00 60.00
Positions (direct):
Tb 0.000 0.000 0.000
O 0.268 0.732 0.268
O 0.268 0.732 0.732
O 0.268 0.268 0.732
W 0.500 0.500 0.500
Sr 0.250 0.250 0.250
K 0.750 0.750 0.750
O 0.732 0.268 0.732
O 0.732 0.268 0.268
O 0.732 0.732 0.268